[1]
Density functional theory data (PBE-GGA) for a relaxed AcTbP2Pt2 crystal.

DFT total energy = -6.61 eV per atom
Energy relative to the elements = -1.336 eV per atom

Cell: 4.2120 4.2120 8.2201 Å, 90.00 90.00 120.00°
Closest atoms and distances in Å follow each position.
Sites, in units of the cell vectors:
Ac: 0.0000 0.0000 0.0000  6 P 3.26, 6 Pt 3.30
Tb: 0.0000 0.0000 0.5000  6 Pt 3.07, 6 P 3.11
P: 0.3333 0.6667 0.2648  3 Pt 2.43
P: 0.6667 0.3333 0.7352  3 Pt 2.43
Pt: 0.3333 0.6667 0.7285  3 P 2.43
Pt: 0.6667 0.3333 0.2715  3 P 2.43

[2]
Density functional theory data (PBE-GGA) for a relaxed Ac2TbP3Pt12 crystal.

DFT total energy = -6.16 eV per atom
Energy relative to the elements = -0.514 eV per atom

Cell: 7.9162 7.9162 7.9162 Å, 63.70 63.70 63.70°
Closest atoms and distances in Å follow each position.
Sites, in units of the cell vectors:
Ac: 0.6043 0.6043 0.6043  6 Pt 3.01-3.13
Ac: 0.3957 0.3957 0.3957  6 Pt 3.01-3.13
Tb: 0.0000 0.0000 0.0000  6 Pt 2.70
P: 0.5000 0.0000 0.0000  6 Pt 2.31-2.32
P: 0.0000 0.5000 0.0000  6 Pt 2.31-2.32
P: 0.0000 0.0000 0.5000  6 Pt 2.31-2.32
Pt: 0.3348 0.3348 0.9000  2 P 2.31
Pt: 0.8659 0.8659 0.3991  1 P 2.32
Pt: 0.3991 0.8659 0.8659  1 P 2.32
Pt: 0.9000 0.3348 0.3348  2 P 2.31
Pt: 0.8659 0.3991 0.8659  1 P 2.32
Pt: 0.3348 0.9000 0.3348  2 P 2.31
Pt: 0.6652 0.6652 0.1000  2 P 2.31
Pt: 0.1341 0.1341 0.6009  1 P 2.32
Pt: 0.6009 0.1341 0.1341  1 P 2.32
Pt: 0.1000 0.6652 0.6652  2 P 2.31
Pt: 0.1341 0.6009 0.1341  1 P 2.32
Pt: 0.6652 0.1000 0.6652  2 P 2.31

[3]
Density functional theory data (PBE-GGA) for a relaxed Ac6Te3P2Pt crystal.

Formation energy (no corrections) = -17.66 eV/f.u.
DFT total energy = -5.72 eV per atom

Cell: 4.4921 9.3953 10.3805 Å, 104.81 102.50 90.00°
Closest atoms and distances in Å follow each position.
Sites, in units of the cell vectors:
Ac: 0.3387 0.8972 0.6773  2 P 3.12, 1 Pt 3.16, 3 Te 3.35-3.42
Ac: 0.6736 0.5646 0.3472  3 P 3.09-3.11, 3 Te 3.39-3.41
Ac: 0.6613 0.1028 0.3227  2 P 3.12, 1 Pt 3.16, 3 Te 3.35-3.42
Ac: 0.0071 0.2286 0.0142  2 Pt 3.09, 1 P 3.14, 3 Te 3.43-3.44
Ac: 0.9929 0.7714 0.9858  2 Pt 3.09, 1 P 3.14, 3 Te 3.43-3.44
Ac: 0.3264 0.4354 0.6528  3 P 3.09-3.11, 3 Te 3.39-3.41
Te: 0.5000 0.5000 0.0000  6 Ac 3.41-3.43
Te: 0.8322 0.1683 0.6644  6 Ac 3.35-3.44
Te: 0.1678 0.8317 0.3356  6 Ac 3.35-3.44
P: 0.8324 0.6642 0.6647  6 Ac 3.09-3.14
P: 0.1676 0.3358 0.3353  6 Ac 3.09-3.14
Pt: 0.5000 0.0000 0.0000  6 Ac 3.09-3.16

[4]
Density functional theory data (PBE-GGA) for a relaxed Ac8Te4PPt3 crystal.

Formation energy (no corrections) = -21.95 eV/f.u.
DFT total energy = -5.68 eV per atom

Cell: 8.9861 9.5039 8.9868 Å, 118.22 120.00 90.00°
Closest atoms and distances in Å follow each position.
Sites, in units of the cell vectors:
Ac: 0.2403 0.7155 0.9753  2 Pt 3.10, 1 P 3.13, 3 Te 3.42-3.45
Ac: 0.2403 0.7155 0.4806  2 Pt 3.10, 1 P 3.13, 3 Te 3.42-3.45
Ac: 0.2629 0.2888 0.5258  3 Pt 3.09
Ac: 0.7350 0.7155 0.9753  2 Pt 3.10, 1 P 3.13, 3 Te 3.42-3.45
Ac: 0.2650 0.2845 0.0247  2 Pt 3.10, 1 P 3.13, 3 Te 3.42-3.45
Ac: 0.7371 0.7112 0.4742  3 Pt 3.09
Ac: 0.7597 0.2845 0.5194  2 Pt 3.10, 1 P 3.13, 3 Te 3.42-3.45
Ac: 0.7597 0.2845 0.0247  2 Pt 3.10, 1 P 3.13, 3 Te 3.42-3.45
Te: 0.5000 0.0000 0.0000  6 Ac 3.42
Te: 0.5000 0.0000 0.5000  6 Ac 3.45-3.47
Te: 0.0000 0.0000 0.0000  6 Ac 3.45-3.47
Te: 0.0000 0.0000 0.5000  6 Ac 3.45-3.47
P: 0.0000 0.5000 0.0000  6 Ac 3.13
Pt: 0.5000 0.5000 0.0000  6 Ac 3.09-3.10
Pt: 0.5000 0.5000 0.5000  6 Ac 3.09-3.10
Pt: 0.0000 0.5000 0.5000  6 Ac 3.09-3.10

[5]
Density functional theory data (PBE-GGA) for a relaxed Ac8Te4P3Pt crystal.

Formation energy (no corrections) = -23.69 eV/f.u.
DFT total energy = -5.71 eV per atom

Cell: 9.0796 9.3142 9.0808 Å, 119.17 120.00 90.00°
Closest atoms and distances in Å follow each position.
Sites, in units of the cell vectors:
Ac: 0.2388 0.7180 0.9792  1 Pt 3.11, 2 P 3.12, 3 Te 3.40-3.41
Ac: 0.2390 0.7181 0.4779  1 Pt 3.11, 2 P 3.12, 3 Te 3.40-3.41
Ac: 0.2610 0.2829 0.5219  3 P 3.11, 3 Te 3.41
Ac: 0.7404 0.7180 0.9792  1 Pt 3.11, 2 P 3.12, 3 Te 3.40-3.41
Ac: 0.2596 0.2820 0.0208  1 Pt 3.11, 2 P 3.12, 3 Te 3.40-3.41
Ac: 0.7390 0.7171 0.4781  3 P 3.11, 3 Te 3.41
Ac: 0.7610 0.2819 0.5221  1 Pt 3.11, 2 P 3.12, 3 Te 3.40-3.41
Ac: 0.7612 0.2820 0.0208  1 Pt 3.11, 2 P 3.12, 3 Te 3.40-3.41
Te: 0.5000 0.0000 0.0000  6 Ac 3.41
Te: 0.5000 0.0000 0.5000  6 Ac 3.40-3.41
Te: 0.0000 0.0000 0.0000  6 Ac 3.40-3.41
Te: 0.0000 0.0000 0.5000  6 Ac 3.40-3.41
P: 0.5000 0.5000 0.0000  6 Ac 3.11-3.12
P: 0.5000 0.5000 0.5000  6 Ac 3.11-3.12
P: 0.0000 0.5000 0.5000  6 Ac 3.11-3.12
Pt: 0.0000 0.5000 0.0000  6 Ac 3.11

[6]
Density functional theory data (PBE-GGA) for a relaxed Ac6Te3PPt2 crystal.

Formation energy (no corrections) = -16.65 eV/f.u.
DFT total energy = -5.69 eV per atom

Cell: 7.8027 7.8027 8.3313 Å, 99.04 99.04 119.99°
Closest atoms and distances in Å follow each position.
Sites, in units of the cell vectors:
Ac: 0.9290 0.5923 0.7847  2 Pt 3.09-3.11, 1 P 3.13, 3 Te 3.45
Ac: 0.7347 0.7347 0.2155  2 Pt 3.10, 1 P 3.14, 3 Te 3.42
Ac: 0.0710 0.4078 0.2153  2 Pt 3.09-3.11, 1 P 3.13, 3 Te 3.45
Ac: 0.5923 0.9290 0.7847  2 Pt 3.09-3.11, 1 P 3.13, 3 Te 3.45
Ac: 0.2653 0.2653 0.7845  2 Pt 3.10, 1 P 3.14, 3 Te 3.42
Ac: 0.4078 0.0710 0.2153  2 Pt 3.09-3.11, 1 P 3.13, 3 Te 3.45
Te: 0.1638 0.8362 0.5000  6 Ac 3.42-3.45
Te: 0.8362 0.1638 0.5000  6 Ac 3.42-3.45
Te: 0.5000 0.5000 0.5000  6 Ac 3.42-3.45
P: 0.0000 0.0000 0.0000  6 Ac 3.13-3.14
Pt: 0.3328 0.6672 0.0000  6 Ac 3.09-3.11
Pt: 0.6672 0.3328 0.0000  6 Ac 3.09-3.11

[7]
Density functional theory data (PBE-GGA) for a relaxed Ac8Te3PPt3 crystal.

Formation energy (no corrections) = -18.34 eV/f.u.
DFT total energy = -5.61 eV per atom

Cell: 8.9867 8.9885 9.4113 Å, 118.49 90.03 120.00°
Closest atoms and distances in Å follow each position.
Sites, in units of the cell vectors:
Ac: 0.2627 0.5253 0.2880  3 Pt 3.08, 3 Te 3.44
Ac: 0.7373 0.4747 0.7120  3 Pt 3.08, 3 Te 3.44
Ac: 0.7595 0.5190 0.2849  2 Pt 3.08, 1 P 3.12, 2 Te 3.44
Ac: 0.2405 0.4810 0.7151  2 Pt 3.08, 1 P 3.12, 2 Te 3.44
Ac: 0.7595 0.0254 0.2850  2 Pt 3.08, 1 P 3.12, 2 Te 3.44
Ac: 0.2405 0.9746 0.7150  2 Pt 3.08, 1 P 3.12, 2 Te 3.44
Ac: 0.2659 0.0253 0.2850  2 Pt 3.08, 1 P 3.12, 2 Te 3.44
Ac: 0.7341 0.9747 0.7150  2 Pt 3.08, 1 P 3.12, 2 Te 3.44
Te: 0.0000 0.0000 0.0000  6 Ac 3.44
Te: 0.0000 0.5000 0.0000  6 Ac 3.44
Te: 0.5000 0.5000 0.0000  6 Ac 3.44
P: 0.0000 0.0000 0.5000  6 Ac 3.12
Pt: 0.5000 0.0000 0.5000  6 Ac 3.08
Pt: 0.5000 0.5000 0.5000  6 Ac 3.08
Pt: 0.0000 0.5000 0.5000  6 Ac 3.08

[8]
Density functional theory data (PBE-GGA) for a relaxed Ac2ThP3Pt12 crystal.

DFT total energy = -6.33 eV per atom
Energy relative to the elements = -0.534 eV per atom

Cell: 8.0477 8.0477 8.0477 Å, 62.19 62.19 62.19°
Closest atoms and distances in Å follow each position.
Sites, in units of the cell vectors:
Ac: 0.6024 0.6024 0.6024  6 Pt 3.06-3.12
Ac: 0.3976 0.3976 0.3976  6 Pt 3.06-3.12
Th: 0.0000 0.0000 0.0000  6 Pt 2.75
P: 0.5000 0.0000 0.0000  6 Pt 2.30-2.36
P: 0.0000 0.5000 0.0000  6 Pt 2.30-2.36
P: 0.0000 0.0000 0.5000  6 Pt 2.30-2.36
Pt: 0.3347 0.3347 0.8987  2 P 2.30
Pt: 0.8646 0.8646 0.4074  1 P 2.36
Pt: 0.4074 0.8646 0.8646  1 P 2.36
Pt: 0.8987 0.3347 0.3347  2 P 2.30
Pt: 0.8646 0.4074 0.8646  1 P 2.36
Pt: 0.3347 0.8987 0.3347  2 P 2.30
Pt: 0.6653 0.6653 0.1013  2 P 2.30
Pt: 0.1354 0.1354 0.5926  1 P 2.36
Pt: 0.5926 0.1354 0.1354  1 P 2.36
Pt: 0.1013 0.6653 0.6653  2 P 2.30
Pt: 0.1354 0.5926 0.1354  1 P 2.36
Pt: 0.6653 0.1013 0.6653  2 P 2.30

[9]
Density functional theory data (PBE-GGA) for a relaxed AcTlP2Pt7 crystal.

DFT total energy = -5.69 eV per atom
Energy relative to the elements = -0.272 eV per atom

Cell: 4.1087 4.1087 15.3804 Å, 97.68 97.68 90.00°
Closest atoms and distances in Å follow each position.
Sites, in units of the cell vectors:
Ac: 0.5000 0.5000 0.0000  12 Pt 2.91-3.18
Tl: 0.2500 0.7500 0.5000  4 Pt 2.71
P: 0.8805 0.8805 0.7609  5 Pt 2.18-2.37
P: 0.1195 0.1195 0.2391  5 Pt 2.18-2.37
Pt: 0.0805 0.5805 0.1610  2 P 2.37
Pt: 0.0000 0.0000 0.0000  4 Ac 2.91, 8 Pt 3.18
Pt: 0.4195 0.9195 0.8390  2 P 2.37
Pt: 0.8083 0.8083 0.6166  1 P 2.18
Pt: 0.5804 0.0804 0.1608  2 P 2.37
Pt: 0.1917 0.1917 0.3834  1 P 2.18
Pt: 0.9196 0.4196 0.8392  2 P 2.37

[10]
Density functional theory data (PBE-GGA) for a relaxed Ac2UP3Pt12 crystal.

DFT total energy = -6.50 eV per atom
Energy relative to the elements = -0.488 eV per atom

Cell: 8.1031 8.1031 8.1031 Å, 61.00 61.00 61.00°
Closest atoms and distances in Å follow each position.
Sites, in units of the cell vectors:
Ac: 0.6058 0.6058 0.6058  6 Pt 3.11-3.12
Ac: 0.3942 0.3942 0.3942  6 Pt 3.11-3.12
U: 0.0000 0.0000 0.0000  6 Pt 2.61
P: 0.5000 0.0000 0.0000  6 Pt 2.29-2.37
P: 0.0000 0.5000 0.0000  6 Pt 2.29-2.37
P: 0.0000 0.0000 0.5000  6 Pt 2.29-2.37
Pt: 0.3376 0.3376 0.9013  2 P 2.29
Pt: 0.8746 0.8746 0.3901  1 P 2.37, 1 U 2.61
Pt: 0.3901 0.8746 0.8746  1 P 2.37, 1 U 2.61
Pt: 0.9013 0.3376 0.3376  2 P 2.29
Pt: 0.8746 0.3901 0.8746  1 P 2.37, 1 U 2.61
Pt: 0.3376 0.9013 0.3376  2 P 2.29
Pt: 0.6624 0.6624 0.0987  2 P 2.29
Pt: 0.1254 0.1254 0.6099  1 P 2.37, 1 U 2.61
Pt: 0.6099 0.1254 0.1254  1 P 2.37, 1 U 2.61
Pt: 0.0987 0.6624 0.6624  2 P 2.29
Pt: 0.1254 0.6099 0.1254  1 P 2.37, 1 U 2.61
Pt: 0.6624 0.0987 0.6624  2 P 2.29

[11]
Density functional theory data (PBE-GGA) for a relaxed Ac2YP3Pt12 crystal.

DFT total energy = -6.26 eV per atom
Energy relative to the elements = -0.513 eV per atom

Cell: 7.9135 7.9135 7.9135 Å, 63.71 63.71 63.71°
Closest atoms and distances in Å follow each position.
Sites, in units of the cell vectors:
Ac: 0.6043 0.6043 0.6043  6 Pt 3.01-3.12
Ac: 0.3957 0.3957 0.3957  6 Pt 3.01-3.12
Y: 0.0000 0.0000 0.0000  6 Pt 2.70
P: 0.5000 0.0000 0.0000  6 Pt 2.31-2.32
P: 0.0000 0.5000 0.0000  6 Pt 2.31-2.32
P: 0.0000 0.0000 0.5000  6 Pt 2.31-2.32
Pt: 0.3348 0.3348 0.9000  2 P 2.31
Pt: 0.8659 0.8659 0.3991  1 P 2.32
Pt: 0.3991 0.8659 0.8659  1 P 2.32
Pt: 0.9000 0.3348 0.3348  2 P 2.31
Pt: 0.8659 0.3991 0.8659  1 P 2.32
Pt: 0.3348 0.9000 0.3348  2 P 2.31
Pt: 0.6652 0.6652 0.1000  2 P 2.31
Pt: 0.1341 0.1341 0.6009  1 P 2.32
Pt: 0.6009 0.1341 0.1341  1 P 2.32
Pt: 0.1000 0.6652 0.6652  2 P 2.31
Pt: 0.1341 0.6009 0.1341  1 P 2.32
Pt: 0.6652 0.1000 0.6652  2 P 2.31

[12]
Density functional theory data (PBE-GGA) for a relaxed AcYP2Pt2 crystal.

DFT total energy = -6.91 eV per atom
Energy relative to the elements = -1.334 eV per atom

Cell: 4.2081 4.2081 8.2230 Å, 90.00 90.00 120.00°
Closest atoms and distances in Å follow each position.
Sites, in units of the cell vectors:
Ac: 0.0000 0.0000 0.0000  6 P 3.26, 6 Pt 3.30
Y: 0.0000 0.0000 0.5000  6 Pt 3.07, 6 P 3.11
P: 0.3333 0.6667 0.2649  3 Pt 2.43
P: 0.6667 0.3333 0.7351  3 Pt 2.43
Pt: 0.3333 0.6667 0.7283  3 P 2.43
Pt: 0.6667 0.3333 0.2717  3 P 2.43